A geometry-optimized Pd3RhC structure. Source: Alexandria via LeMat-Bulk, functional PBE.

Cell: 4.820 4.820 4.820 Å, 90.00 90.00 90.00°
Positions (direct):
1 Pd 0.000 0.000 0.500
2 Pd 0.000 0.500 0.000
3 Pd 0.500 0.000 0.000
4 Rh 0.000 0.000 0.000
5 C 0.500 0.500 0.500

Output
Raw total energy ... -19.980 eV/cell
Calculated formation energy ... 2.435 eV per atom
Energy relative to the lowest polymorph listed for this composition ... 1949.8 meV/atom

***

A geometry-optimized PdRhC3 structure. Source: Alexandria via LeMat-Bulk, functional PBE.

Cell: 3.965 3.965 3.965 Å, 90.00 90.00 90.00°
Positions (direct):
1 Pd 0.000 0.000 0.000
2 Rh 0.500 0.500 0.500
3 C 0.000 0.000 0.500
4 C 0.000 0.500 0.000
5 C 0.500 0.000 0.000

Output
Raw total energy ... -26.521 eV/cell
Calculated formation energy ... 2.739 eV per atom
Energy relative to the lowest polymorph listed for this composition ... 467.7 meV/atom

***

A geometry-optimized PdRh3C structure. Source: Alexandria via LeMat-Bulk, functional PBE.

Cell: 4.746 4.746 4.746 Å, 90.00 90.00 90.00°
Positions (direct):
1 Pd 0.000 0.000 0.000
2 Rh 0.000 0.000 0.500
3 Rh 0.000 0.500 0.000
4 Rh 0.500 0.000 0.000
5 C 0.500 0.500 0.500

Output
Raw total energy ... -22.047 eV/cell
Calculated formation energy ... 2.885 eV per atom

***

Q: Look up the raw total energy of the second one.
A: -26.521 eV/cell